Compound: Na2TlBi3
Source: Alexandria via LeMat-Bulk
Functional: PBE
Structure: relaxed

Lattice parameters (Å, degrees): 10.1135 10.9948 6.7790 90.00 90.00 90.00
Space group Cmcm (No. 63)
Asymmetric unit:
Na: 0.1682 0.2320 0.2500
Tl: 0.0000 0.2726 0.7500
Bi: 0.0000 0.0000 0.0000
Bi: 0.1693 0.5000 0.0000

## Properties
Offset from the most stable computed form   0.02 eV per formula unit


Compound: LiMnTc
Source: Alexandria via LeMat-Bulk
Functional: PBE
Structure: relaxed

Lattice parameters (Å, degrees): 2.9456 2.9456 8.8590 90.00 90.00 90.00
Space group I4mm (No. 107)
Asymmetric unit:
Li: 0.0000 0.0000 0.0000
Mn: 0.0000 0.0000 0.3244
Tc: 0.0000 0.0000 0.6893

## Properties
Offset from the most stable computed form   0.21 eV per formula unit


Compound: BaTeSN2
Source: Alexandria via LeMat-Bulk
Functional: PBE
Structure: relaxed

Lattice parameters (Å, degrees): 4.2782 4.2782 5.2518 90.00 90.00 90.00
Space group P4/mmm (No. 123)
Asymmetric unit:
Ba: 0.0000 0.0000 0.0000
Te: 0.5000 0.5000 0.5000
S: 0.5000 0.5000 0.0000
N: 0.0000 0.5000 0.5000

## Properties
Formation energy from raw total energies   0.3160 eV per atom
Offset from the most stable computed form   0.00 eV per formula unit